First-principles (PBE) data for a geometry-optimized Tm2Co3Si5 structure, as listed in OQMD.

As for the symmetry: No. 72. Its total magnetization is 0.37 Bohr magnetons per cell. For the total energy, the calculation gives -6.506 eV/atom.

a = 5.482 Å, b = 7.809 Å, c = 7.809 Å
α = 89.04°, β = 69.45°, γ = 110.55°
Sites, in units of the cell vectors:
Co (0.250, 0.000, 0.000)
Co (0.750, 0.000, 0.000)
Co (0.609, 0.471, 0.252)
Co (0.891, 0.252, 0.471)
Co (0.109, 0.748, 0.529)
Co (0.391, 0.529, 0.748)
Si (0.840, 0.741, 0.060)
Si (0.250, 0.226, 0.226)
Si (0.750, 0.226, 0.226)
Si (0.340, 0.940, 0.259)
Si (0.250, 0.500, 0.500)
Si (0.750, 0.500, 0.500)
Si (0.660, 0.060, 0.741)
Si (0.250, 0.774, 0.774)
Si (0.750, 0.774, 0.774)
Si (0.160, 0.259, 0.940)
Tm (0.233, 0.598, 0.132)
Tm (0.733, 0.868, 0.402)
Tm (0.267, 0.132, 0.598)
Tm (0.767, 0.402, 0.868)